{"formula": "Mn3CuO7", "functional": "PBE+U", "state": "relaxed", "rho_g_cm3": 5.032, "dos_at_fermi_per_ev_atom": 0.38, "vol_a3_per_cell": 112.3, "total_energy_ev_per_atom": -6.5208, "cell": [[5.264, -0.531, -1.038], [-1.199, 4.716, -0.344], [-0.684, -0.278, 4.822]], "species": ["Mn", "Mn", "Mn", "O", "O", "O", "O", "O", "O", "O", "Cu"], "fractional_positions": [[0.000, 0.230, 0.770], [0.500, 0.000, 0.000], [0.000, 0.770, 0.230], [0.286, 0.169, 0.169], [0.252, 0.074, 0.647], [0.252, 0.647, 0.074], [0.748, 0.353, 0.926], [0.714, 0.831, 0.831], [0.748, 0.926, 0.353], [0.000, 0.500, 0.500], [0.500, 0.500, 0.500]]}